Record 1
Material: CrIn2P2
Method: DFT, PBE-GGA
State: relaxed

a = 6.0650 Å, b = 6.0650 Å, c = 4.8720 Å
α = 90.00°, β = 90.00°, γ = 90.00°
Fractional coordinates of all 10 atoms:
Cr 0.0000 0.0000 0.0000
Cr 0.5000 0.5000 0.0000
P 0.3585 0.8585 0.0000
P 0.8585 0.6415 0.0000
P 0.6415 0.1415 0.0000
P 0.1415 0.3585 0.0000
In 0.1875 0.6875 0.5000
In 0.6875 0.8125 0.5000
In 0.8125 0.3125 0.5000
In 0.3125 0.1875 0.5000

Symmetry = No. 127
Formation enthalpy at 0 K = 0.159 eV per atom
Total energy = -5.02 eV per atom
V = 179 Å³/cell

***

Record 2
Material: CrInP4
Method: DFT, PBE-GGA
State: relaxed

a = 5.2443 Å, b = 5.2443 Å, c = 5.2443 Å
α = 60.00°, β = 60.00°, γ = 60.00°
Last column: magnetic moment on the atom in μB.
Fractional coordinates of all 6 atoms:
Cr 0.7500 0.7500 0.7500  3.82
In 0.0000 0.0000 0.0000  -0.02
P 0.8747 0.3751 0.3751  0.01
P 0.3751 0.3751 0.8747  0.01
P 0.3751 0.8747 0.3751  0.01
P 0.3751 0.3751 0.3751  0.01

Symmetry = No. 216
Formation enthalpy at 0 K = 0.636 eV per atom
Total energy = -5.03 eV per atom
V = 102 Å³/cell

***

Record 3
Material: CrIn2PPb
Method: DFT, PBE-GGA
State: relaxed

a = 5.2572 Å, b = 4.4250 Å, c = 5.2572 Å
α = 90.00°, β = 90.00°, γ = 90.00°
Last column: magnetic moment on the atom in μB.
Fractional coordinates of all 5 atoms:
Pb 0.5000 0.5000 0.5000  0.01
Cr 0.0000 0.0000 0.0000  0.99
P 0.0000 0.5000 0.0000  -0.07
In 0.0000 0.0000 0.5000  -0.01
In 0.5000 0.0000 0.0000  -0.04

Symmetry = No. 123
Formation enthalpy at 0 K = 0.289 eV per atom
Total energy = -4.55 eV per atom
V = 122 Å³/cell

***

Record 4
Material: CrIn2PRh
Method: DFT, PBE-GGA
State: relaxed

a = 5.0765 Å, b = 4.3314 Å, c = 5.0765 Å
α = 90.00°, β = 90.00°, γ = 90.00°
Last column: magnetic moment on the atom in μB.
Fractional coordinates of all 5 atoms:
Cr 0.5000 0.5000 0.5000  -0.31
Rh 0.0000 0.5000 0.0000  0.07
P 0.0000 0.0000 0.0000  0.00
In 0.0000 0.0000 0.5000  0.04
In 0.5000 0.0000 0.0000  0.01

Symmetry = No. 123
Formation enthalpy at 0 K = 1.020 eV per atom
Total energy = -4.55 eV per atom
V = 112 Å³/cell

***

Record 5
Material: CrInPS2
Method: DFT, PBE-GGA
State: relaxed

a = 4.6128 Å, b = 4.6128 Å, c = 4.5843 Å
α = 90.00°, β = 90.00°, γ = 90.00°
Last column: magnetic moment on the atom in μB.
Fractional coordinates of all 5 atoms:
Cr 0.0000 0.0000 0.0000  1.65
S 0.0000 0.5000 0.0000  -0.04
S 0.5000 0.0000 0.0000  -0.04
P 0.0000 0.0000 0.5000  -0.13
In 0.5000 0.5000 0.5000  -0.02

Symmetry = No. 123
Total energy = -5.10 eV per atom
V = 98 Å³/cell
Raw formation energy = 0.52 eV/f.u.

***

Record 6
Material: CrIn2PS
Method: DFT, PBE-GGA
State: relaxed

a = 5.3074 Å, b = 4.1549 Å, c = 5.3074 Å
α = 90.00°, β = 90.00°, γ = 90.00°
Last column: magnetic moment on the atom in μB.
Fractional coordinates of all 5 atoms:
Cr 0.0000 0.0000 0.0000  1.65
S 0.0000 0.5000 0.0000  -0.06
P 0.5000 0.5000 0.5000  0.47
In 0.0000 0.0000 0.5000  0.02
In 0.5000 0.0000 0.0000  -0.01

Symmetry = No. 123
Total energy = -4.49 eV per atom
V = 117 Å³/cell
Raw formation energy = 2.18 eV/f.u.

***

Number 1: magnetization 0.00 μB per cell. Number 2: magnetization 4.35 μB per cell. Number 3: magnetization 0.90 μB per cell. Number 4: magnetization 0.13 μB per cell. Number 5: magnetization 1.42 μB per cell. Number 6: magnetization 2.89 μB per cell.